{
  "formula": "PrNdY2",
  "functional": "PBE",
  "state": "relaxed",
  "volume_a3_per_cell": 136,
  "ef_ev_per_fu": 0.07,
  "spacegroup": "P4/mmm (123)",
  "e_above_lowest_polymorph_mev_per_atom": 10,
  "dft_energy_ev_per_atom": -5.6012,
  "cell": [[3.644, 0.000, 0.000], [0.000, 3.644, 0.000], [0.000, 0.000, 10.225]],
  "species": ["Pr", "Nd", "Y", "Y"],
  "frac_coords": [[0.000, 0.000, 0.000], [0.000, 0.000, 0.500], [0.500, 0.500, 0.251], [0.500, 0.500, 0.749]]
}